[1]
# Mg5Ge

A relaxed Mg5Ge crystal (PBE-GGA, Alexandria).

Formation energy: -23 meV per atom
SG: Cmmm
V: 21.7 A^3/atom
Magnetization: 0.0 Bohr magnetons per cell

Lattice parameters (Å, degrees): 3.2891 5.0662 8.2294 107.93 90.00 90.00
Positions (direct):
Ge 0.0000 0.0000 0.0000
Mg 0.0000 0.6827 0.3654
Mg 0.0000 0.3173 0.6346
Mg 0.5000 0.5000 0.0000
Mg 0.5000 0.1467 0.2934
Mg 0.5000 0.8533 0.7066


[2]
# HAuSeN

A relaxed HAuSeN crystal (PBE-GGA, Alexandria).

Total DFT energy (no corrections): -4.341 eV/atom
SG: P1
V: 16.4 A^3/atom
Magnetization: 0.0 Bohr magnetons per cell

Lattice parameters (Å, degrees): 2.9264 4.4587 5.3892 108.95 92.10 98.57
Positions (direct):
H 0.1338 0.7792 0.6018
Au 0.5050 0.0418 0.2755
Se 0.5607 0.2503 0.9062
N 0.4756 0.8879 0.6042


- Look up the magnetization of the first one.
  0.0 Bohr magnetons per cell


- Which of these has the lowest V?
  HAuSeN